## i
## Sr2Tl2Os (PBE-GGA)

Data for a relaxed structure of Sr2Tl2Os.

Structure (CIF):
```
data_Sr2Tl2Os
_chemical_formula_sum 'Sr4 Tl4 Os2'
_cell_length_a 7.964
_cell_length_b 7.964
_cell_length_c 5.134
_cell_angle_alpha 90.00
_cell_angle_beta 90.00
_cell_angle_gamma 90.00
_space_group_name_H-M_alt 'P 1'
_space_group_IT_number 1
loop_
_space_group_symop_operation_xyz
'x,y,z'
loop_
_atom_site_label
_atom_site_type_symbol
_atom_site_fract_x
_atom_site_fract_y
_atom_site_fract_z
Tl1 Tl 0.848 0.348 0.500
Tl2 Tl 0.152 0.652 0.500
Tl3 Tl 0.348 0.152 0.500
Tl4 Tl 0.652 0.848 0.500
Sr1 Sr 0.837 0.663 0.000
Sr2 Sr 0.337 0.837 0.000
Sr3 Sr 0.163 0.337 0.000
Sr4 Sr 0.663 0.163 0.000
Os1 Os 0.000 0.000 0.000
Os2 Os 0.500 0.500 0.000
```

Output
- DOS at the Fermi energy: 5.47 states/eV/f.u.
- Space-group type: P4/mbm

=====

## ii
## Sr2Tl2Os (PBE-GGA)

Data for a relaxed structure of Sr2Tl2Os.

Structure (CIF):
```
data_Sr2Tl2Os
_chemical_formula_sum 'Sr2 Tl2 Os1'
_cell_length_a 4.076
_cell_length_b 4.076
_cell_length_c 10.282
_cell_angle_alpha 78.57
_cell_angle_beta 78.57
_cell_angle_gamma 90.00
_space_group_name_H-M_alt 'P 1'
_space_group_IT_number 1
loop_
_space_group_symop_operation_xyz
'x,y,z'
loop_
_atom_site_label
_atom_site_type_symbol
_atom_site_fract_x
_atom_site_fract_y
_atom_site_fract_z
Tl1 Tl 0.750 0.250 0.500
Tl2 Tl 0.250 0.750 0.500
Sr1 Sr 0.415 0.415 0.170
Sr2 Sr 0.585 0.585 0.830
Os1 Os 0.000 0.000 0.000
```

Output
- DOS at the Fermi energy: 5.77 states/eV/f.u.
- Space-group type: I4/mmm

=====

Tell me which of them is the most stable. Sure, it is ii.

=====

## i
## SrZrTl2Os (PBE-GGA)

Data for a relaxed structure of SrZrTl2Os.

Structure (CIF):
```
data_SrZrTl2Os
_chemical_formula_sum 'Sr1 Zr1 Tl2 Os1'
_cell_length_a 5.291
_cell_length_b 5.412
_cell_length_c 5.291
_cell_angle_alpha 90.00
_cell_angle_beta 90.00
_cell_angle_gamma 90.00
_space_group_name_H-M_alt 'P 1'
_space_group_IT_number 1
loop_
_space_group_symop_operation_xyz
'x,y,z'
loop_
_atom_site_label
_atom_site_type_symbol
_atom_site_fract_x
_atom_site_fract_y
_atom_site_fract_z
Zr1 Zr 0.500 0.500 0.500
Tl1 Tl 0.000 0.000 0.500
Tl2 Tl 0.500 0.000 0.000
Sr1 Sr 0.000 0.500 0.000
Os1 Os 0.000 0.000 0.000
```

Output
- DOS at the Fermi energy: 11.37 states/eV/f.u.
- Space-group type: P4/mmm

=====

## ii
## SrZrTl2Os (PBE-GGA)

Data for a relaxed structure of SrZrTl2Os.

Structure (CIF):
```
data_SrZrTl2Os
_chemical_formula_sum 'Sr1 Zr1 Tl2 Os1'
_cell_length_a 5.699
_cell_length_b 5.423
_cell_length_c 5.699
_cell_angle_alpha 90.00
_cell_angle_beta 90.00
_cell_angle_gamma 90.00
_space_group_name_H-M_alt 'P 1'
_space_group_IT_number 1
loop_
_space_group_symop_operation_xyz
'x,y,z'
loop_
_atom_site_label
_atom_site_type_symbol
_atom_site_fract_x
_atom_site_fract_y
_atom_site_fract_z
Zr1 Zr 0.000 0.500 0.000
Sr1 Sr 0.000 0.000 0.000
Os1 Os 0.500 0.500 0.500
Tl1 Tl 0.000 0.000 0.500
Tl2 Tl 0.500 0.000 0.000
```

Output
- DOS at the Fermi energy: 7.33 states/eV/f.u.
- Space-group type: P4/mmm

=====

Tell me which of them is the most stable. Sure, it is i.